# 1
Below is a relaxed structure of Tl2InGe, with properties calculated at the PBE level.

The structure in CIF format:
```
data_Tl2InGe
_chemical_formula_sum 'Tl8 In4 Ge4'
_cell_length_a 8.530
_cell_length_b 8.530
_cell_length_c 6.214
_cell_angle_alpha 90.00
_cell_angle_beta 90.00
_cell_angle_gamma 90.00
_symmetry_space_group_name_H-M 'I -4 2 d'
_symmetry_Int_Tables_number 122
_symmetry_space_group_name_Hall 'I -4 2bw'
loop_
_atom_site_label
_atom_site_fract_x
_atom_site_fract_y
_atom_site_fract_z
_atom_site_occupancy
Tl1 0.214 0.250 0.125 1
In1 0.000 0.000 0.500 1
Ge1 0.000 0.000 0.000 1
```

Computed properties:
**DFT total energy**: -45.0 eV per cell
**N(E_F)**: 2.43 states/eV/f.u.
**V**: 452 Å³/cell


# 2
Below is a relaxed structure of TlInGe, with properties calculated at the PBE level.

The structure in CIF format:
```
data_TlInGe
_chemical_formula_sum 'Tl4 In4 Ge4'
_cell_length_a 4.957
_cell_length_b 17.160
_cell_length_c 3.882
_cell_angle_alpha 90.00
_cell_angle_beta 90.00
_cell_angle_gamma 90.00
_symmetry_space_group_name_H-M 'C m c m'
_symmetry_Int_Tables_number 63
_symmetry_space_group_name_Hall '-C 2c 2'
loop_
_atom_site_label
_atom_site_fract_x
_atom_site_fract_y
_atom_site_fract_z
_atom_site_occupancy
Tl1 0.000 0.092 0.250 1
In1 0.000 0.281 0.250 1
Ge1 0.000 0.453 0.250 1
```

Computed properties:
**Energy above the lowest structure with this stoichiometry**: 0 meV/atom
**N(E_F)**: 1.16 states/eV/f.u.
**V**: 330 Å³/cell


# 3
Below is a relaxed structure of TlInGe, with properties calculated at the PBE level.

The structure in CIF format:
```
data_TlInGe
_chemical_formula_sum 'Tl1 In1 Ge1'
_cell_length_a 3.3872
_cell_length_b 3.3872
_cell_length_c 7.8095
_cell_angle_alpha 90.00
_cell_angle_beta 90.00
_cell_angle_gamma 120.00
_symmetry_space_group_name_H-M 'P 3 m 1'
_symmetry_Int_Tables_number 156
loop_
_symmetry_equiv_pos_as_xyz
'x,y,z'
'-y,x-y,z'
'-x+y,-x,z'
'-y,-x,z'
'-x+y,y,z'
'x,x-y,z'
loop_
_atom_site_label
_atom_site_fract_x
_atom_site_fract_y
_atom_site_fract_z
_atom_site_occupancy
Tl1 0.0000 0.0000 0.0000 1
In1 0.3333 0.6667 0.6314 1
Ge1 0.6667 0.3333 0.3316 1
```

Computed properties:
**Energy above the lowest structure with this stoichiometry**: 89 meV/atom
**N(E_F)**: 1.88 states/eV/f.u.
**V**: 78 Å³/cell